<1>
Sc2BiO2 after structural relaxation, computed with PBE.

abc: 3.6863 3.6863 6.9624
angles: 74.65 74.65 90.00
Closest atoms and distances in Å follow each position.
Atoms (fractional coordinates):
Bi  0.0000  0.0000  0.0000  8 Sc 3.44, 4 Bi 3.69, 8 O 3.72
Sc  0.3264  0.3264  0.3471  4 O 2.09
O  0.2500  0.7500  0.5000  4 Sc 2.09
Sc  0.6736  0.6736  0.6529  4 O 2.09
O  0.7500  0.2500  0.5000  4 Sc 2.09

Summary:
Theoretical density = 6.3 Mg/m³

---

<2>
Sc2BiO2 after structural relaxation, computed with PBE.

abc: 7.5082 7.5082 2.9938
angles: 90.00 90.00 90.00
Closest atoms and distances in Å follow each position.
Atoms (fractional coordinates):
O  0.8921  0.3921  0.5000  1 O 2.29, 4 Sc 2.30
Bi  0.5000  0.5000  0.0000  4 Sc 2.97, 2 Bi 2.99
Sc  0.8760  0.6240  0.0000  4 O 2.30
Sc  0.3760  0.8760  0.0000  4 O 2.30
O  0.6079  0.8921  0.5000  1 O 2.29, 4 Sc 2.30
O  0.1079  0.6079  0.5000  1 O 2.29, 4 Sc 2.30
Sc  0.6240  0.1240  0.0000  4 O 2.30
Sc  0.1240  0.3760  0.0000  4 O 2.30
Bi  0.0000  0.0000  0.0000  4 Sc 2.97, 2 Bi 2.99
O  0.3921  0.1079  0.5000  1 O 2.29, 4 Sc 2.30

Summary:
Theoretical density = 6.5 Mg/m³

---

Question: of the structures shown, which is the least stable? Reply: <2>.